(1)
## HoTlZnS3 (GGA-PBE)

Data for HoTlZnS3 after structural relaxation.

a = 11.163 Å, b = 4.095 Å, c = 11.950 Å
α = 90.00°, β = 90.00°, γ = 90.00°
Fractional coordinates of all 24 atoms:
Ho  0.478  0.500  0.170
Ho  0.522  0.000  0.830
Ho  0.022  0.000  0.670
Ho  0.978  0.500  0.330
Tl  0.163  0.000  0.007
Tl  0.337  0.500  0.507
Tl  0.837  0.500  0.993
Tl  0.663  0.000  0.493
S  0.277  0.000  0.699
S  0.899  0.500  0.561
S  0.544  0.500  0.678
S  0.399  0.500  0.939
S  0.723  0.500  0.301
S  0.456  0.000  0.322
S  0.601  0.000  0.061
S  0.101  0.000  0.439
S  0.044  0.500  0.822
S  0.956  0.000  0.178
S  0.777  0.000  0.801
S  0.223  0.500  0.199
Zn  0.751  0.500  0.700
Zn  0.251  0.500  0.800
Zn  0.749  0.000  0.200
Zn  0.249  0.000  0.300

For the offset from the most stable computed form, the calculation gives 1.39 kcal/mol of atoms. For the total energy, the calculation gives -110.34 eV per cell.

***

(2)
## SrLaGe2Pd (GGA-PBE)

Data for SrLaGe2Pd after structural relaxation.

a = 5.966 Å, b = 5.966 Å, c = 11.097 Å
α = 116.11°, β = 116.11°, γ = 45.35°
Fractional coordinates of all 10 atoms:
La  0.019  0.019  0.331
La  0.981  0.981  0.669
Pd  0.736  0.736  0.352
Pd  0.264  0.264  0.648
Ge  0.492  0.492  0.119
Ge  0.508  0.508  0.881
Ge  0.363  0.363  0.445
Ge  0.637  0.637  0.555
Sr  0.809  0.809  0.890
Sr  0.191  0.191  0.110

For the total energy, the calculation gives -50.11 eV per cell.

***

(3)
## Si2TeAu (GGA-PBE)

Data for Si2TeAu after structural relaxation.

a = 4.830 Å, b = 4.830 Å, c = 4.830 Å
α = 60.00°, β = 60.00°, γ = 60.00°
Fractional coordinates of all 4 atoms:
Au  0.500  0.500  0.500
Si  0.250  0.250  0.250
Si  0.000  0.000  0.000
Te  0.750  0.750  0.750

For the total energy, the calculation gives -14.86 eV per cell.

***

(4)
## DyTm2Mg3In3 (GGA-PBE)

Data for DyTm2Mg3In3 after structural relaxation.

a = 4.651 Å, b = 7.472 Å, c = 7.472 Å
α = 120.27°, β = 90.00°, γ = 90.00°
Fractional coordinates of all 9 atoms:
In  0.000  0.002  0.002
In  0.500  0.667  0.332
In  0.500  0.332  0.667
Tm  0.000  0.000  0.435
Tm  0.000  0.435  0.000
Mg  0.500  0.000  0.759
Mg  0.500  0.242  0.242
Mg  0.500  0.759  0.000
Dy  0.000  0.563  0.563

For the total energy, the calculation gives -29.73 eV per cell.

***

(5)
## Y2HoB2Pd2N3 (GGA-PBE)

Data for Y2HoB2Pd2N3 after structural relaxation.

a = 10.445 Å, b = 10.445 Å, c = 10.445 Å
α = 159.94°, β = 159.94°, γ = 28.52°
Fractional coordinates of all 10 atoms:
Ho  0.000  0.000  0.000
Pd  0.250  0.750  0.500
Pd  0.750  0.250  0.500
Y  0.382  0.382  0.000
Y  0.618  0.618  0.000
N  0.887  0.887  0.000
N  0.113  0.113  0.000
N  0.500  0.500  0.000
B  0.184  0.184  0.000
B  0.816  0.816  0.000

For the total energy, the calculation gives -77.86 eV per cell.

***

(6)
## LuScB (GGA-PBE)

Data for LuScB after structural relaxation.

a = 4.309 Å, b = 4.309 Å, c = 4.309 Å
α = 60.00°, β = 60.00°, γ = 60.00°
Fractional coordinates of all 3 atoms:
Sc  0.750  0.750  0.750
Lu  0.250  0.250  0.250
B  0.000  0.000  0.000

For the offset from the most stable computed form, the calculation gives 0.00 kcal/mol of atoms. For the total energy, the calculation gives -17.75 eV per cell.

***

(7)
## Cu7Ag3 (GGA-PBE)

Data for Cu7Ag3 after structural relaxation.

a = 5.944 Å, b = 3.790 Å, c = 6.082 Å
α = 90.00°, β = 91.63°, γ = 90.00°
Fractional coordinates of all 10 atoms:
Cu  0.221  0.000  0.401
Cu  0.500  0.500  0.500
Cu  0.417  0.000  0.802
Cu  0.681  0.500  0.889
Cu  0.779  0.000  0.599
Cu  0.319  0.500  0.111
Cu  0.583  0.000  0.198
Ag  0.112  0.500  0.698
Ag  0.000  0.000  0.000
Ag  0.888  0.500  0.302

For the offset from the most stable computed form, the calculation gives 0.84 kcal/mol of atoms. As for the formation energy: 81 meV per atom. For the total energy, the calculation gives -33.68 eV per cell.

***

(8)
## Zn3Pt4PbO12 (GGA-PBE)

Data for Zn3Pt4PbO12 after structural relaxation.

a = 6.606 Å, b = 6.606 Å, c = 6.606 Å
α = 109.47°, β = 109.47°, γ = 109.47°
Fractional coordinates of all 20 atoms:
Pt  0.000  0.500  0.000
Pt  0.500  0.500  0.500
Pt  0.500  0.000  0.000
Pt  0.000  0.000  0.500
Zn  0.000  0.500  0.500
Zn  0.500  0.000  0.500
Zn  0.500  0.500  0.000
Pb  0.000  0.000  0.000
O  0.313  0.182  0.495
O  0.505  0.687  0.818
O  0.182  0.869  0.687
O  0.313  0.818  0.131
O  0.687  0.818  0.505
O  0.687  0.182  0.869
O  0.869  0.687  0.182
O  0.818  0.131  0.313
O  0.818  0.505  0.687
O  0.182  0.495  0.313
O  0.495  0.313  0.182
O  0.131  0.313  0.818

For the total energy, the calculation gives -105.21 eV per cell.

***

(9)
## TaBSb (GGA-PBE)

Data for TaBSb after structural relaxation.

a = 4.150 Å, b = 4.150 Å, c = 4.150 Å
α = 60.00°, β = 60.00°, γ = 60.00°
Fractional coordinates of all 3 atoms:
Ta  0.750  0.750  0.750
Sb  0.250  0.250  0.250
B  0.000  0.000  0.000

For the offset from the most stable computed form, the calculation gives 0.00 kcal/mol of atoms. For the total energy, the calculation gives -19.85 eV per cell.

***

(10)
## MgAlCu2 (GGA-PBE)

Data for MgAlCu2 after structural relaxation.

a = 6.085 Å, b = 6.085 Å, c = 6.085 Å
α = 90.00°, β = 90.00°, γ = 90.00°
Fractional coordinates of all 16 atoms:
Cu  0.739  0.739  0.739
Cu  0.739  0.261  0.261
Cu  0.261  0.261  0.261
Cu  0.261  0.261  0.739
Cu  0.739  0.739  0.261
Cu  0.739  0.261  0.739
Cu  0.261  0.739  0.739
Cu  0.261  0.739  0.261
Mg  0.000  0.000  0.500
Mg  0.000  0.500  0.000
Mg  0.000  0.000  0.000
Mg  0.500  0.000  0.000
Al  0.500  0.500  0.500
Al  0.500  0.000  0.500
Al  0.500  0.500  0.000
Al  0.000  0.500  0.500

For the total energy, the calculation gives -53.73 eV per cell.

***

(11)
## TmHfAsO (GGA-PBE)

Data for TmHfAsO after structural relaxation.

a = 3.907 Å, b = 7.395 Å, c = 5.710 Å
α = 90.00°, β = 90.00°, γ = 90.00°
Fractional coordinates of all 8 atoms:
Tm  0.000  0.272  0.953
Tm  0.000  0.728  0.453
O  0.500  0.158  0.861
O  0.500  0.842  0.361
As  0.000  0.652  0.948
As  0.000  0.348  0.448
Hf  0.500  0.108  0.492
Hf  0.500  0.892  0.992

For the offset from the most stable computed form, the calculation gives 4.11 kcal/mol of atoms. For the total energy, the calculation gives -61.88 eV per cell.

***

(12)
## InCoTcW (GGA-PBE)

Data for InCoTcW after structural relaxation.

a = 4.422 Å, b = 4.422 Å, c = 4.422 Å
α = 60.00°, β = 60.00°, γ = 60.00°
Site moments in Bohr magnetons follow the coordinates.
Fractional coordinates of all 4 atoms:
Tc  0.250  0.250  0.250  0.07
W  0.500  0.500  0.500  -0.19
Co  0.750  0.750  0.750  -0.92
In  0.000  0.000  0.000  0.02

For the offset from the most stable computed form, the calculation gives 0.00 kcal/mol of atoms. For the total energy, the calculation gives -32.25 eV per cell.